An optimized crystal structure of LiIn9Ga2, computed with PBE.

Lattice parameters (Å, degrees): 4.470 4.470 14.879 90.00 90.00 90.00
Fractional coordinates of all 12 atoms:
Li 0.000 0.000 0.000
In 0.000 0.500 0.161
In 0.000 0.500 0.500
In 0.000 0.500 0.839
In 0.500 0.000 0.161
In 0.500 0.000 0.500
In 0.500 0.000 0.839
In 0.500 0.500 0.000
In 0.500 0.500 0.329
In 0.500 0.500 0.671
Ga 0.000 0.000 0.323
Ga 0.000 0.000 0.677

Output
E_form, eV per atom: -0.01
Space-group type: P4/mmm